Entry from Alexandria: a relaxed structure of TbPr5Ga4 (PBE).

**Total energy**: -86.4 eV for the cell shown

Cell and atoms, written as POSCAR:
```
TbPr5Ga4
1.0
-0.611 7.717 3.329
-3.394 -3.091 6.542
7.973 -0.957 3.683
Pr Ga Tb
10 8 2
direct
0.733 0.246 0.304
0.267 0.746 0.804
0.648 0.500 0.000
0.267 0.254 0.804
0.267 0.746 0.196
0.267 0.254 0.196
0.733 0.246 0.696
0.352 0.000 0.500
0.733 0.754 0.304
0.733 0.754 0.696
0.015 0.000 0.347
0.436 0.652 0.500
0.436 0.348 0.500
0.564 0.848 0.000
0.985 0.500 0.847
0.015 0.000 0.653
0.985 0.500 0.153
0.564 0.152 0.000
0.919 0.000 0.000
0.081 0.500 0.500
```

=====

Entry from Alexandria: a relaxed structure of TbPr8Ga6 (PBE).

**Total energy**: -66.3 eV for the cell shown

Cell and atoms, written as POSCAR:
```
TbPr8Ga6
1.0
-5.701 -2.758 6.277
1.549 -7.599 4.401
1.907 -0.230 7.965
Pr Ga Tb
8 6 1
direct
0.887 0.552 0.341
0.334 0.334 0.998
0.552 0.220 0.341
0.780 0.113 0.659
0.448 0.780 0.659
0.666 0.666 0.002
0.113 0.448 0.659
0.220 0.887 0.341
0.272 0.619 0.164
0.619 0.945 0.164
0.055 0.728 0.836
0.728 0.381 0.836
0.381 0.055 0.836
0.945 0.272 0.164
0.000 0.000 0.000
```

=====

Entry from Alexandria: a relaxed structure of Tb2PrGa2 (PBE).

**Energy above the most stable polymorph in this dataset**: 0.000 eV per atom

Cell and atoms, written as POSCAR:
```
Tb2PrGa2
1.0
-3.197 2.259 -2.010
-5.154 -5.383 2.147
-1.357 3.914 6.557
Pr Ga Tb
2 4 4
direct
0.000 0.000 0.000
0.000 0.500 0.500
0.000 0.118 0.382
0.000 0.882 0.618
0.000 0.618 0.118
0.000 0.382 0.882
0.500 0.826 0.326
0.500 0.674 0.826
0.500 0.174 0.674
0.500 0.326 0.174
```

=====

Entry from Alexandria: a relaxed structure of TbPr2Ga (PBE).

**Energy above the most stable polymorph in this dataset**: 0.001 eV per atom

Cell and atoms, written as POSCAR:
```
TbPr2Ga
1.0
3.639 0.000 0.000
0.000 3.639 0.000
0.000 0.000 9.121
Tb Ga Pr
1 1 2
direct
0.500 0.500 0.500
0.500 0.500 0.000
0.000 0.000 0.212
0.000 0.000 0.788
```

=====

Entry from Alexandria: a relaxed structure of Tb4PrGa5 (PBE).

**Total energy**: -44.2 eV for the cell shown

Cell and atoms, written as POSCAR:
```
Tb4PrGa5
1.0
-0.848 -3.400 0.873
3.237 -0.410 1.547
-6.794 5.736 15.741
Ga Tb Pr
5 4 1
direct
0.500 0.500 0.500
0.500 0.500 0.109
0.500 0.500 0.696
0.500 0.500 0.304
0.500 0.500 0.891
0.000 0.000 0.794
0.000 0.000 0.598
0.000 0.000 0.402
0.000 0.000 0.206
0.000 0.000 0.000
```

=====

Entry from Alexandria: a relaxed structure of TbPr2Ga (PBE).

**Energy above the most stable polymorph in this dataset**: 0.092 eV per atom

Cell and atoms, written as POSCAR:
```
TbPr2Ga
1.0
-2.328 -0.740 -2.831
-1.819 -3.265 -0.120
-9.328 2.893 4.446
Tb Ga Pr
1 1 2
direct
0.500 0.500 0.499
0.666 0.666 0.001
0.262 0.262 0.215
0.072 0.072 0.785
```